1.
The following is a meta-GGA SCAN calculation of YAl2W at its PBEsol-relaxed geometry, from the Alexandria database.

Lattice parameters (Å, degrees): 5.8968 8.3065 2.9040 90.00 90.00 90.00
Closest atoms and distances in Å follow each position.
Space group Cmmm (No. 65)
Unique sites:
Y 0.0000 0.0000 0.0000 [2 per cell]  2 Y 2.90, 8 Al 2.93, 2 W 2.95
Al 0.2500 0.2500 0.5000 [4 per cell]  4 Al 2.90-2.95, 4 Y 2.93, 4 W 2.93
W 0.0000 0.5000 0.0000 [2 per cell]  2 W 2.90, 8 Al 2.93, 2 Y 2.95

Output
total magnetic moment = 0.00 μB/f.u.
polymorph energy (0 for the lowest one) = 0 meV/atom
formation energy from the elements = 0.114 eV/atom

2.
The following is a meta-GGA SCAN calculation of YAlW4 at its PBEsol-relaxed geometry, from the Alexandria database.

Lattice parameters (Å, degrees): 7.5722 7.5722 7.5722 90.00 90.00 90.00
Closest atoms and distances in Å follow each position.
Space group F-43m (No. 216)
Unique sites:
Y 0.0000 0.0000 0.0000 [4 per cell]  12 W 3.14, 4 Al 3.28
Al 0.2500 0.2500 0.2500 [4 per cell]  12 W 3.14, 4 Y 3.28
W 0.1245 0.1245 0.6245 [16 per cell]  6 W 2.67-2.69

Output
total magnetic moment = 0.00 μB/f.u.
formation energy from the elements = 0.278 eV/atom

3.
The following is a meta-GGA SCAN calculation of Y2AlW at its PBEsol-relaxed geometry, from the Alexandria database.

Lattice parameters (Å, degrees): 9.8824 3.0260 5.7855 90.00 97.56 90.00
Closest atoms and distances in Å follow each position.
Space group C2/m (No. 12)
Unique sites:
Y 0.2490 0.0000 0.2453 [4 per cell]  3 W 3.02-3.07, 6 Y 3.03-3.31, 3 Al 3.03-3.11
Al 0.0000 0.0000 0.5000 [2 per cell]  2 Al 3.03, 6 Y 3.03-3.11, 4 W 3.26
W 0.0000 0.5000 0.0000 [2 per cell]  6 Y 3.02-3.07, 2 W 3.03, 4 Al 3.26

Output
total magnetic moment = 0.00 μB/f.u.
formation energy from the elements = 0.466 eV/atom

4.
The following is a meta-GGA SCAN calculation of YAlW2 at its PBEsol-relaxed geometry, from the Alexandria database.

Lattice parameters (Å, degrees): 2.7835 2.7835 9.0506 90.00 90.00 90.00
Closest atoms and distances in Å follow each position.
Space group P4/mmm (No. 123)
Unique sites:
Y 0.0000 0.0000 0.0000 [1 per cell]  4 Y 2.78
Al 0.0000 0.0000 0.5000 [1 per cell]  4 Al 2.78, 8 W 2.79
W 0.5000 0.5000 0.2808 [2 per cell]  4 W 2.78, 4 Al 2.79

Output
total magnetic moment = 0.00 μB/f.u.
formation energy from the elements = 0.382 eV/atom

5.
The following is a meta-GGA SCAN calculation of YAl2W at its PBEsol-relaxed geometry, from the Alexandria database.

Lattice parameters (Å, degrees): 10.2937 2.7975 5.1126 90.00 104.20 90.00
Closest atoms and distances in Å follow each position.
Space group Cm (No. 8)
Unique sites:
Y 0.0000 0.0000 0.0000 [2 per cell]  2 Y 2.80, 7 Al 2.88-2.97
Al 0.2602 0.5000 0.2036 [2 per cell]  4 Al 2.74-2.80, 4 W 2.84-3.05, 3 Y 2.90-2.97
Al 0.4750 0.0000 0.4986 [2 per cell]  4 Al 2.74-2.80, 3 W 2.81-2.95, 4 Y 2.88-2.97
W 0.2182 0.0000 0.6594 [2 per cell]  2 W 2.80, 7 Al 2.81-3.05

Output
total magnetic moment = 0.00 μB/f.u.
polymorph energy (0 for the lowest one) = 48 meV/atom
formation energy from the elements = 0.163 eV/atom

6.
The following is a meta-GGA SCAN calculation of YAlW2 at its PBEsol-relaxed geometry, from the Alexandria database.

Lattice parameters (Å, degrees): 2.8496 4.8279 5.2517 90.00 97.11 90.00
Closest atoms and distances in Å follow each position.
Space group P2/m (No. 10)
Unique sites:
Y 0.0000 0.0000 0.0000 [1 per cell]  4 Al 2.83-3.14, 2 Y 2.85, 4 W 2.92
Al 0.5000 0.0000 0.5000 [1 per cell]  4 Y 2.83-3.14, 2 Al 2.85, 4 W 2.85
W 0.3082 0.5000 0.7572 [2 per cell]  3 W 2.65-2.85, 2 Al 2.85, 2 Y 2.92

Output
total magnetic moment = 0.00 μB/f.u.
formation energy from the elements = 0.459 eV/atom

7.
The following is a meta-GGA SCAN calculation of YAl2W at its PBEsol-relaxed geometry, from the Alexandria database.

Lattice parameters (Å, degrees): 2.9517 2.9517 29.1858 90.00 90.00 120.00
Closest atoms and distances in Å follow each position.
Space group R-3m (No. 166, hexagonal axes)
Unique sites:
Y 0.0000 0.0000 0.0000 [3 per cell]  6 Y 2.95, 6 Al 3.19
Al 0.0000 0.0000 0.2408 [6 per cell]  3 W 2.75, 6 Al 2.95
W 0.0000 0.0000 0.5000 [3 per cell]  6 Al 2.75, 6 W 2.95

Output
total magnetic moment = 0.00 μB/f.u.
polymorph energy (0 for the lowest one) = 84 meV/atom
formation energy from the elements = 0.198 eV/atom

8.
The following is a meta-GGA SCAN calculation of YAlW2 at its PBEsol-relaxed geometry, from the Alexandria database.

Lattice parameters (Å, degrees): 3.4889 4.4157 9.3185 90.00 90.00 90.00
Closest atoms and distances in Å follow each position.
Space group Immm (No. 71)
Unique sites:
Y 0.0000 0.0000 0.0000 [2 per cell]  4 Al 2.81, 4 W 2.94
Al 0.0000 0.0000 0.5000 [2 per cell]  4 Y 2.81, 4 W 2.88
W 0.0000 0.5000 0.2458 [4 per cell]  4 W 2.81, 2 Al 2.88, 2 Y 2.94

Output
total magnetic moment = 0.00 μB/f.u.
formation energy from the elements = 0.447 eV/atom

9.
The following is a meta-GGA SCAN calculation of Y2AlW at its PBEsol-relaxed geometry, from the Alexandria database.

Lattice parameters (Å, degrees): 4.3624 4.3624 8.8033 90.00 90.00 90.00
Closest atoms and distances in Å follow each position.
Space group I-4m2 (No. 119)
Unique sites:
Y 0.0000 0.0000 0.0000 [2 per cell]  4 Al 3.08, 4 W 3.10, 4 Y 3.10
Y 0.0000 0.5000 0.2500 [2 per cell]  4 W 3.08, 4 Al 3.10, 4 Y 3.10
Al 0.0000 0.0000 0.5000 [2 per cell]  8 Y 3.08-3.10, 4 W 3.10
W 0.0000 0.5000 0.7500 [2 per cell]  8 Y 3.08-3.10, 4 Al 3.10

Output
total magnetic moment = 0.00 μB/f.u.
formation energy from the elements = 0.272 eV/atom

10.
The following is a meta-GGA SCAN calculation of Y2AlW at its PBEsol-relaxed geometry, from the Alexandria database.

Lattice parameters (Å, degrees): 3.4784 3.4784 7.5950 90.00 90.00 90.00
Closest atoms and distances in Å follow each position.
Space group P4mm (No. 99)
Unique sites:
Y 0.0000 0.0000 0.0000 [1 per cell]  1 Al 2.93, 4 W 3.11
Y 0.5000 0.5000 0.3786 [1 per cell]  1 W 2.82, 4 Al 3.04
Al 0.0000 0.0000 0.6146 [1 per cell]  4 W 2.67, 1 Y 2.93
W 0.5000 0.5000 0.7503 [1 per cell]  4 Al 2.67, 1 Y 2.82

Output
total magnetic moment = 0.00 μB/f.u.
formation energy from the elements = 0.155 eV/atom

11.
The following is a meta-GGA SCAN calculation of Y2AlW at its PBEsol-relaxed geometry, from the Alexandria database.

Lattice parameters (Å, degrees): 5.4546 3.0095 5.6061 90.00 113.22 90.00
Closest atoms and distances in Å follow each position.
Space group P2/m (No. 10)
Unique sites:
Y 0.0000 0.0000 0.0000 [1 per cell]  6 Y 3.01-3.18, 2 Al 3.04, 4 W 3.11
Y 0.0000 0.5000 0.5000 [1 per cell]  6 Y 3.01-3.18, 2 W 3.04, 4 Al 3.11
Al 0.5000 0.0000 0.5000 [1 per cell]  2 Al 3.01, 6 Y 3.04-3.11, 4 W 3.18
W 0.5000 0.5000 0.0000 [1 per cell]  2 W 3.01, 6 Y 3.04-3.11, 4 Al 3.18

Output
total magnetic moment = 0.00 μB/f.u.
formation energy from the elements = 0.489 eV/atom

12.
The following is a meta-GGA SCAN calculation of AlZn2W at its PBEsol-relaxed geometry, from the Alexandria database.

Lattice parameters (Å, degrees): 2.8442 4.4575 4.5989 90.00 90.00 90.00
Closest atoms and distances in Å follow each position.
Space group Pmmm (No. 47)
Unique sites:
Al 0.0000 0.0000 0.0000 [1 per cell]  4 W 2.64, 4 Zn 2.70, 2 Al 2.84
Zn 0.0000 0.5000 0.5000 [1 per cell]  6 Zn 2.64-2.84, 4 W 2.70
Zn 0.5000 0.0000 0.5000 [1 per cell]  6 Zn 2.64-2.84, 4 Al 2.70
W 0.5000 0.5000 0.0000 [1 per cell]  4 Al 2.64, 4 Zn 2.70, 2 W 2.84

Output
total magnetic moment = 0.00 μB/f.u.
formation energy from the elements = 0.173 eV/atom

13.
The following is a meta-GGA SCAN calculation of AlZn2W at its PBEsol-relaxed geometry, from the Alexandria database.

Lattice parameters (Å, degrees): 4.5289 3.0320 8.9014 90.00 102.58 90.00
Closest atoms and distances in Å follow each position.
Space group C2/m (No. 12)
Unique sites:
Al 0.0000 0.0000 0.0000 [2 per cell]  6 Zn 2.63-2.75, 4 Al 2.73
Zn 0.2247 0.0000 0.7517 [4 per cell]  3 Al 2.63-2.75, 3 W 2.71-2.79, 4 Zn 2.73
W 0.0000 0.5000 0.5000 [2 per cell]  6 Zn 2.71-2.79, 6 W 2.73-3.03

Output
total magnetic moment = 0.00 μB/f.u.
formation energy from the elements = 0.162 eV/atom

14.
The following is a meta-GGA SCAN calculation of AlZn4W at its PBEsol-relaxed geometry, from the Alexandria database.

Lattice parameters (Å, degrees): 6.9491 6.9491 6.9491 90.00 90.00 90.00
Closest atoms and distances in Å follow each position.
Space group F-43m (No. 216)
Unique sites:
Al 0.0000 0.0000 0.0000 [4 per cell]  12 Zn 2.88, 4 W 3.01
Zn 0.1240 0.1240 0.6240 [16 per cell]  6 Zn 2.44-2.48
W 0.2500 0.2500 0.2500 [4 per cell]  12 Zn 2.88, 4 Al 3.01

Output
total magnetic moment = 1.43 μB/f.u.
formation energy from the elements = 0.276 eV/atom

15.
The following is a meta-GGA SCAN calculation of Al2ZnW at its PBEsol-relaxed geometry, from the Alexandria database.

Lattice parameters (Å, degrees): 3.6934 3.6934 8.4464 90.00 90.00 90.00
Closest atoms and distances in Å follow each position.
Space group I-4m2 (No. 119)
Unique sites:
Al 0.0000 0.0000 0.0000 [2 per cell]  4 Zn 2.61, 4 W 2.81, 4 Al 2.81
Al 0.0000 0.5000 0.2500 [2 per cell]  4 W 2.61, 4 Al 2.81, 4 Zn 2.81
Zn 0.0000 0.0000 0.5000 [2 per cell]  8 Al 2.61-2.81, 4 W 2.81
W 0.0000 0.5000 0.7500 [2 per cell]  8 Al 2.61-2.81, 4 Zn 2.81

Output
total magnetic moment = 0.00 μB/f.u.
formation energy from the elements = -0.141 eV/atom

16.
The following is a meta-GGA SCAN calculation of Al2ZnW at its PBEsol-relaxed geometry, from the Alexandria database.

Lattice parameters (Å, degrees): 3.7532 3.7532 8.2326 90.00 90.00 90.00
Closest atoms and distances in Å follow each position.
Space group I4/mmm (No. 139)
Unique sites:
Al 0.0000 0.5000 0.2500 [4 per cell]  4 Al 2.65, 4 W 2.79, 4 Zn 2.79
Zn 0.0000 0.0000 0.0000 [2 per cell]  4 W 2.65, 8 Al 2.79
W 0.0000 0.0000 0.5000 [2 per cell]  4 Zn 2.65, 8 Al 2.79

Output
total magnetic moment = 0.00 μB/f.u.
formation energy from the elements = -0.157 eV/atom

17.
The following is a meta-GGA SCAN calculation of Al2ZnW at its PBEsol-relaxed geometry, from the Alexandria database.

Lattice parameters (Å, degrees): 2.6773 4.3839 5.0972 90.00 95.24 90.00
Closest atoms and distances in Å follow each position.
Space group P2/m (No. 10)
Unique sites:
Al 0.1205 0.0000 0.2476 [2 per cell]  4 Al 2.55-2.71, 2 Zn 2.58, 2 W 2.77
Zn 0.0000 0.5000 0.5000 [1 per cell]  4 Al 2.58, 2 Zn 2.68, 2 W 2.77
W 0.5000 0.5000 0.0000 [1 per cell]  2 W 2.68, 4 Zn 2.77-2.99, 8 Al 2.77-2.96

Output
total magnetic moment = 0.00 μB/f.u.
formation energy from the elements = 0.025 eV/atom

18.
The following is a meta-GGA SCAN calculation of Al4ZnW at its PBEsol-relaxed geometry, from the Alexandria database.

Lattice parameters (Å, degrees): 7.1293 7.1293 7.1293 90.00 90.00 90.00
Closest atoms and distances in Å follow each position.
Space group F-43m (No. 216)
Unique sites:
Al 0.1247 0.1247 0.1247 [16 per cell]  6 Al 2.51-2.53
Zn 0.2500 0.2500 0.7500 [4 per cell]  12 Al 2.96, 4 W 3.09
W 0.0000 0.0000 0.5000 [4 per cell]  12 Al 2.96, 4 Zn 3.09

Output
total magnetic moment = 0.00 μB/f.u.
formation energy from the elements = 0.176 eV/atom

19.
The following is a meta-GGA SCAN calculation of Al2ZnW at its PBEsol-relaxed geometry, from the Alexandria database.

Lattice parameters (Å, degrees): 2.7115 4.6185 4.7747 90.00 90.00 90.00
Closest atoms and distances in Å follow each position.
Space group Pmm2 (No. 25)
Unique sites:
Al 0.0000 0.0000 0.0000 [1 per cell]  4 Zn 2.71-2.78, 4 Al 2.71-2.85, 4 W 2.78
Al 0.0000 0.5000 0.3486 [1 per cell]  4 Al 2.71-2.85, 4 W 2.72-2.77, 4 Zn 2.78
Zn 0.5000 0.0000 0.5083 [1 per cell]  8 Al 2.71-2.78, 2 Zn 2.71, 2 W 2.81
W 0.5000 0.5000 0.8434 [1 per cell]  2 W 2.71, 8 Al 2.72-2.78, 2 Zn 2.81

Output
total magnetic moment = 0.00 μB/f.u.
formation energy from the elements = -0.049 eV/atom

20.
The following is a meta-GGA SCAN calculation of Al2ZnW at its PBEsol-relaxed geometry, from the Alexandria database.

Lattice parameters (Å, degrees): 6.1905 6.1905 6.1905 90.00 90.00 90.00
Closest atoms and distances in Å follow each position.
Space group F-43m (No. 216)
Unique sites:
Al 0.0000 0.0000 0.0000 [4 per cell]  4 Al 2.68, 4 Zn 2.68
Al 0.2500 0.2500 0.2500 [4 per cell]  4 W 2.68, 4 Al 2.68
Zn 0.2500 0.2500 0.7500 [4 per cell]  4 W 2.68, 4 Al 2.68
W 0.0000 0.0000 0.5000 [4 per cell]  4 Al 2.68, 4 Zn 2.68

Output
total magnetic moment = 0.00 μB/f.u.
formation energy from the elements = 0.371 eV/atom